DFT (PBE) results for a relaxed CaErGe2Pt5 crystal.

Unit cell a=4.227 b=4.227 c=9.067 alpha=90.00 beta=90.00 gamma=90.00
Sites, in units of the cell vectors:
Ca: 0.000 0.000 0.000
Er: 0.000 0.000 0.500
Ge: 0.500 0.500 0.366
Ge: 0.500 0.500 0.634
Pt: 0.000 0.500 0.229
Pt: 0.000 0.500 0.771
Pt: 0.500 0.000 0.229
Pt: 0.500 0.000 0.771
Pt: 0.500 0.500 0.000

Calculated values
symmetry: P4/mmm, No. 123
E_form: -0.78 eV/atom
density of states at the Fermi level: 6.1 states/eV/cell